1.
PuAl4Cu4 PBE relaxed; calculated formation energy = -90 meV/atom; symmetry = P4/m
1.0
-3.698 2.357 -0.903
-4.167 -7.117 -1.510
-2.230 -0.407 8.072
Al Cu Pu
8 8 2
Direct
0.500 0.891 0.611 Al
0.500 0.389 0.891 Al
0.000 0.391 0.112 Al
0.500 0.109 0.389 Al
0.000 0.888 0.391 Al
0.000 0.112 0.609 Al
0.500 0.611 0.109 Al
0.000 0.609 0.888 Al
0.500 0.177 0.702 Cu
0.000 0.201 0.322 Cu
0.500 0.702 0.823 Cu
0.000 0.322 0.799 Cu
0.500 0.298 0.177 Cu
0.000 0.799 0.678 Cu
0.500 0.823 0.298 Cu
0.000 0.678 0.201 Cu
0.500 0.500 0.500 Pu
0.000 0.000 0.000 Pu

=====

2.
Be2AlAs PBE relaxed; calculated formation energy = 219 meV/atom; symmetry = Cm; energy above the most stable polymorph in this dataset = 0.0 kJ/mol of atoms
1.0
-3.097 2.061 1.129
-1.239 0.720 3.614
2.035 4.340 0.820
Be Al As
2 1 1
Direct
0.740 0.740 0.845 Be
0.022 0.022 0.919 Be
0.485 0.485 0.563 Al
0.253 0.253 0.173 As

=====

3.
HgWAu2S PBE relaxed; energy relative to the elements, uncorrected = 1.57 eV per atom; symmetry = P4/mmm
1.0
-1.550 -1.708 4.018
-3.487 -2.578 -2.441
2.919 -3.576 -0.394
W S Au Hg
1 1 2 1
Direct
0.500 0.500 0.500 W
0.000 0.000 0.000 S
0.000 0.000 0.500 Au
0.500 0.000 0.000 Au
0.000 0.500 0.000 Hg

=====

4.
TaRuCl3 PBE relaxed; energy relative to the elements, uncorrected = 0.92 eV per atom; symmetry = Pm-3m; energy above the most stable polymorph in this dataset = 14.8 kJ/mol of atoms
1.0
4.746 0.000 0.000
0.000 4.746 0.000
0.000 0.000 4.746
Ta Cl Ru
1 3 1
Direct
0.500 0.500 0.500 Ta
0.000 0.000 0.500 Cl
0.000 0.500 0.000 Cl
0.500 0.000 0.000 Cl
0.000 0.000 0.000 Ru

=====

5.
NbSiF3 PBE relaxed; energy relative to the elements, uncorrected = -1.20 eV per atom; symmetry = Pm-3m; energy above the most stable polymorph in this dataset = 0.0 kJ/mol of atoms
1.0
4.306 0.000 0.000
0.000 4.306 0.000
0.000 0.000 4.306
F Si Nb
3 1 1
Direct
0.000 0.000 0.500 F
0.500 0.000 0.000 F
0.000 0.500 0.000 F
0.500 0.500 0.500 Si
0.000 0.000 0.000 Nb

=====

6.
NaBeCoGe PBE relaxed; calculated formation energy = 274 meV/atom; symmetry = Cm; energy above the most stable polymorph in this dataset = 26.3 kJ/mol of atoms
1.0
4.702 0.000 0.006
0.000 2.873 0.000
-2.502 0.000 8.532
Co Na Be Ge
2 2 2 2
Direct
0.753 0.500 0.119 Co
0.753 0.000 0.619 Co
0.288 0.500 0.761 Na
0.288 0.000 0.261 Na
0.429 0.000 0.018 Be
0.429 0.500 0.518 Be
0.875 0.500 0.418 Ge
0.875 0.000 0.918 Ge